MnAl2Ru: relaxed, PBE.

Properties
ΔH_f (0 K) (kJ per mole of atoms): 2
D(E_F) (states/eV/atom): 0.83
Total magnetization (μB/f.u.): 3.45

a b c (Å): 2.7502 2.7502 8.2834
angles (deg): 90.00 90.00 110.97
Each line ends with the local moment (μB).
Fractional coordinates of all 4 atoms:
Ru1 0.5000 0.5000 0.7484  0.34
Mn1 0.0000 0.0000 0.5057  2.99
Al1 0.0000 0.0000 0.9841  0.01
Al2 0.5000 0.5000 0.2618  -0.02